A plane-wave DFT calculation with GGA-PBE was carried out for Ca2YTl2 after structural relaxation.

Cell lengths 9.2910, 9.2910, 3.4908 Å; angles 90.00, 90.00, 90.00 degrees
Site moments in Bohr magnetons follow the coordinates.
Fractional positions:
Ca: 0.8732 0.6268 0.0000  0.00
Ca: 0.3732 0.8732 0.0000  0.00
Ca: 0.6268 0.1268 0.0000  0.00
Ca: 0.1268 0.3732 0.0000  0.00
Tl: 0.8268 0.3268 0.5000  0.00
Tl: 0.6732 0.8268 0.5000  0.00
Tl: 0.3268 0.1732 0.5000  0.00
Tl: 0.1732 0.6732 0.5000  0.00
Y: 0.5000 0.5000 0.0000  0.24
Y: 0.0000 0.0000 0.0000  0.24

Calculated values
As for the total magnetization: 0.4 μB per formula unit. For the electronic total energy, the calculation gives -3.23 eV/atom. For the offset from the most stable computed form, the calculation gives 116.7 meV per atom. For the energy relative to the elements, the calculation gives -0.190 eV per atom. The density of states at the Fermi level comes out at 2.51 states/eV/f.u.